Below is a geometry-optimized Li3V2P3O12 structure, with properties calculated at the GGA+U level. Values from VASP.

Summary:
The space group is R-3 (148). The total energy is -7.088 eV/atom.

```
&SYSTEM
  ibrav = 0, nat = 40, ntyp = 4
/
ATOMIC_SPECIES
Li 6.94 Li.upf
V 50.94 V.upf
P 30.97 P.upf
O 16.00 O.upf
ATOMIC_POSITIONS crystal
Li 0.167 0.764 0.423
Li 0.236 0.577 0.833
Li 0.423 0.167 0.764
Li 0.577 0.833 0.236
Li 0.764 0.423 0.167
Li 0.833 0.236 0.577
V 0.151 0.151 0.151
V 0.355 0.355 0.355
V 0.645 0.645 0.645
V 0.849 0.849 0.849
P 0.040 0.459 0.751
P 0.249 0.960 0.541
P 0.459 0.751 0.040
P 0.541 0.249 0.960
P 0.751 0.040 0.459
P 0.960 0.541 0.249
O 0.005 0.334 0.966
O 0.034 0.995 0.666
O 0.039 0.655 0.711
O 0.112 0.505 0.303
O 0.245 0.365 0.626
O 0.289 0.961 0.345
O 0.303 0.112 0.505
O 0.334 0.966 0.005
O 0.345 0.289 0.961
O 0.365 0.626 0.245
O 0.374 0.755 0.635
O 0.495 0.697 0.888
O 0.505 0.303 0.112
O 0.626 0.245 0.365
O 0.635 0.374 0.755
O 0.655 0.711 0.039
O 0.666 0.034 0.995
O 0.697 0.888 0.495
O 0.711 0.039 0.655
O 0.755 0.635 0.374
O 0.888 0.495 0.697
O 0.961 0.345 0.289
O 0.966 0.005 0.334
O 0.995 0.666 0.034
CELL_PARAMETERS angstrom
4.236 2.446 7.588
-4.236 2.446 7.588
0.000 -4.892 7.588
```